Below is TaAl2Sb after structural relaxation, with properties calculated at the PBE-GGA level.

Cell: 4.582 4.582 3.515 Å, 90.00 90.00 90.00°
Sites, in units of the cell vectors:
Sb  0.500  0.000  0.500
Ta  0.000  0.500  0.500
Al  0.500  0.500  0.000
Al  0.000  0.000  0.000

## Properties
VASP energy: -22.71 eV/f.u.
Uncorrected formation energy: 0.189 eV/atom

Below is DyZrOsRh after structural relaxation, with properties calculated at the PBE-GGA level.

Cell: 4.738 4.738 4.738 Å, 60.00 60.00 60.00°
Sites, in units of the cell vectors:
Os  0.500  0.500  0.500
Dy  0.250  0.250  0.250
Zr  0.750  0.750  0.750
Rh  0.000  0.000  0.000

## Properties
VASP energy: -34.03 eV/f.u.
ΔH_f (0 K): -0.574 eV per atom

Below is Ho8As3PS4 after structural relaxation, with properties calculated at the PBE-GGA level.

Cell: 7.989 7.949 7.989 Å, 120.17 120.00 90.00°
Sites, in units of the cell vectors:
Ho  0.755  0.748  0.002
S  0.500  0.000  0.000
S  0.000  0.000  0.000
As  0.500  0.500  0.500
Ho  0.754  0.252  0.998
Ho  0.246  0.748  0.002
Ho  0.245  0.252  0.998
S  0.500  0.000  0.500
As  0.500  0.500  0.000
Ho  0.754  0.252  0.507
As  0.000  0.500  0.500
P  0.000  0.500  0.000
Ho  0.246  0.748  0.493
Ho  0.751  0.752  0.502
S  0.000  0.000  0.500
Ho  0.249  0.248  0.498

## Properties
VASP energy: -101.27 eV/f.u.
Uncorrected formation energy: -1.799 eV/atom

Below is Th3B2AsRh9 after structural relaxation, with properties calculated at the PBE-GGA level.

Cell: 5.904 5.904 8.457 Å, 90.00 90.00 120.00°
Sites, in units of the cell vectors:
As  0.000  0.000  0.500
Rh  0.331  0.165  0.711
Th  0.000  0.000  0.000
Rh  0.835  0.669  0.711
Rh  0.500  0.500  0.000
B  0.333  0.667  0.149
Rh  0.165  0.331  0.289
Rh  0.669  0.835  0.289
Th  0.667  0.333  0.338
Th  0.333  0.667  0.662
Rh  0.835  0.165  0.711
Rh  0.165  0.835  0.289
Rh  0.000  0.500  0.000
Rh  0.500  0.000  0.000
B  0.667  0.333  0.851

## Properties
VASP energy: -118.38 eV/f.u.
ΔH_f (0 K): -0.797 eV per atom

Below is Dy11Mg9Ni4 after structural relaxation, with properties calculated at the PBE-GGA level.

Cell: 3.596 13.269 13.269 Å, 113.25 90.00 90.00°
Last column: magnetic moment on the atom in μB.
Sites, in units of the cell vectors:
Dy  0.000  0.418  0.085  0.01
Dy  0.000  0.085  0.418  0.01
Mg  0.500  0.780  0.921  0.00
Mg  0.500  0.500  0.500  0.00
Ni  0.500  0.549  0.747  0.00
Mg  0.500  0.220  0.079  0.00
Mg  0.500  0.635  0.155  0.00
Ni  0.500  0.451  0.253  0.00
Ni  0.500  0.253  0.451  0.00
Mg  0.500  0.845  0.365  0.00
Mg  0.500  0.155  0.635  0.00
Dy  0.000  0.915  0.582  0.01
Dy  0.000  0.000  0.000  0.14
Dy  0.000  0.313  0.313  0.00
Mg  0.500  0.921  0.780  0.00
Dy  0.000  0.845  0.155  0.09
Dy  0.000  0.155  0.845  0.09
Dy  0.000  0.627  0.373  0.00
Dy  0.000  0.582  0.915  0.01
Mg  0.500  0.365  0.845  0.00
Dy  0.000  0.373  0.627  0.00
Ni  0.500  0.747  0.549  0.00
Mg  0.500  0.079  0.220  0.00
Dy  0.000  0.687  0.687  0.00

## Properties
VASP energy: -93.43 eV/f.u.
ΔH_f (0 K): -0.222 eV per atom

Below is K2Sc2Sb2Se after structural relaxation, with properties calculated at the PBE-GGA level.

Cell: 5.074 5.074 9.547 Å, 105.41 105.41 90.00°
Sites, in units of the cell vectors:
K  0.184  0.184  0.367
Sc  0.000  0.500  0.000
Sb  0.393  0.393  0.786
K  0.816  0.816  0.633
Se  0.000  0.000  0.000
Sb  0.607  0.607  0.214
Sc  0.500  0.000  0.000

## Properties
VASP energy: -33.09 eV/f.u.
Uncorrected formation energy: -0.929 eV/atom